This record from Alexandria via LeMat-Bulk describes a relaxed structure of Li2InNiF8. The functional is PBE+U.

Energy (eV/atom): -4.401
Total magnetization (μB per formula unit): 2.98

Cell lengths 4.713, 4.707, 6.368 Å; angles 90.00, 90.00, 91.57 degrees
Last column: magnetic moment on the atom in μB.
Sites, in units of the cell vectors:
Li 0.500 0.500 0.756  0.00
Li 0.500 0.500 0.244  0.00
In 0.000 0.000 0.500  0.00
Ni 0.000 0.000 0.000  2.28
F 0.192 0.805 0.230  0.08
F 0.716 0.718 0.000  0.15
F 0.808 0.195 0.230  0.08
F 0.808 0.195 0.770  0.08
F 0.284 0.282 0.000  0.15
F 0.192 0.805 0.770  0.08
F 0.689 0.691 0.500  0.01
F 0.311 0.309 0.500  0.01